Crystalline RbLiF3 at its relaxed geometry. Source: Alexandria, functional PBE.

Unit cell a=7.407 b=6.101 c=8.021 alpha=90.00 beta=118.82 gamma=90.00
Space group P2_1/c (No. 14)
Unique sites:
Rb (0.224, 0.244, 0.102) [4 per cell]
Li (0.173, 0.741, 0.832) [4 per cell]
F (0.015, 0.003, 0.754) [4 per cell]
F (0.261, 0.728, 0.621) [4 per cell]
F (0.436, 0.589, 0.039) [4 per cell]

Calculated values
- VASP energy (eV for the cell shown) = -79.55
- E above lowest polymorph (kJ/mol of formula units) = 0.0
- energy relative to the elements, uncorrected (eV/atom) = -2.279

***

Crystalline HgAs2Ir at its relaxed geometry. Source: Alexandria, functional PBE.

Unit cell a=3.1292 b=3.1292 c=27.2517 alpha=90.00 beta=90.00 gamma=120.00
Space group R3m (No. 160, hexagonal axes)
Unique sites:
Hg (0.0000, 0.0000, 0.0000) [3 per cell]
As (0.0000, 0.0000, 0.2372) [3 per cell]
As (0.0000, 0.0000, 0.4807) [3 per cell]
Ir (0.0000, 0.0000, 0.7525) [3 per cell]

Calculated values
- VASP energy (eV for the cell shown) = -52.25
- DFT formation energy (meV per atom) = 261
- N(E_F) (states/eV/atom) = 0.79

***

Crystalline TlCuSb2 at its relaxed geometry. Source: Alexandria, functional PBE.

Unit cell a=5.692 b=8.982 c=4.170 alpha=90.00 beta=90.00 gamma=90.00
Space group Cmmm (No. 65)
Unique sites:
Tl (0.000, 0.000, 0.000) [2 per cell]
Cu (0.000, 0.500, 0.000) [2 per cell]
Sb (0.000, 0.321, 0.500) [4 per cell]

Calculated values
- VASP energy (eV for the cell shown) = -28.97
- E above lowest polymorph (kJ/mol of formula units) = 0.0
- N(E_F) (states/eV/atom) = 0.39
- energy relative to the elements, uncorrected (eV/atom) = 0.056

***

Crystalline Y4PdSeS2 at its relaxed geometry. Source: Alexandria, functional PBE.

Unit cell a=6.962 b=3.940 c=7.021 alpha=90.00 beta=108.69 gamma=90.00
Space group P2/m (No. 10)
Unique sites:
Y (0.244, 0.000, 0.235) [2 per cell]
Y (0.249, 0.500, 0.758) [2 per cell]
Pd (0.000, 0.000, 0.500) [1 per cell]
Se (0.500, 0.500, 0.500) [1 per cell]
S (0.000, 0.500, 0.000) [1 per cell]
S (0.500, 0.000, 0.000) [1 per cell]

Calculated values
- VASP energy (eV for the cell shown) = -55.78
- N(E_F) (states/eV/atom) = 0.42
- energy relative to the elements, uncorrected (eV/atom) = -1.625